Model one:
This record from Alexandria via LeMat-Bulk describes a geometry-optimized KTl2Ga2 structure. The functional is PBE.

Values from the calculation:
M_tot   0.0 μB/cell

Unit cell a=9.0349 b=9.0349 c=3.4627 alpha=90.00 beta=90.00 gamma=90.00
With the nearest neighbours (Å) after each atom.
Element x y z (fractional)
1 K 0.0000 0.0000 0.0000  2 K 3.46, 4 Tl 3.51, 8 Ga 3.83
2 K 0.5000 0.5000 0.0000  2 K 3.46, 4 Tl 3.51, 8 Ga 3.83
3 Tl 0.1369 0.3631 0.0000  6 Ga 3.16-3.18, 3 Tl 3.46-3.50, 2 K 3.51
4 Tl 0.3631 0.8631 0.0000  6 Ga 3.16-3.18, 3 Tl 3.46-3.50, 2 K 3.51
5 Tl 0.6369 0.1369 0.0000  6 Ga 3.16-3.18, 3 Tl 3.46-3.50, 2 K 3.51
6 Tl 0.8631 0.6369 0.0000  6 Ga 3.16-3.18, 3 Tl 3.46-3.50, 2 K 3.51
7 Ga 0.1546 0.6546 0.5000  6 Tl 3.16-3.18, 2 Ga 3.46
8 Ga 0.3454 0.1546 0.5000  6 Tl 3.16-3.18, 2 Ga 3.46
9 Ga 0.6546 0.8454 0.5000  6 Tl 3.16-3.18, 2 Ga 3.46
10 Ga 0.8454 0.3454 0.5000  6 Tl 3.16-3.18, 2 Ga 3.46

=====

Model two:
This record from Alexandria via LeMat-Bulk describes a geometry-optimized KTl2Ga2 structure. The functional is PBE.

Values from the calculation:
M_tot   0.0 μB/cell

Unit cell a=7.1603 b=7.1603 c=7.1603 alpha=140.39 beta=140.39 gamma=57.27
With the nearest neighbours (Å) after each atom.
Element x y z (fractional)
1 K 0.0000 0.0000 0.0000  8 Tl 3.76, 8 Ga 3.97
2 Tl 0.3783 0.3783 0.0000  4 Ga 2.91, 1 Tl 3.06
3 Tl 0.6217 0.6217 0.0000  4 Ga 2.91, 1 Tl 3.06
4 Ga 0.2500 0.7500 0.5000  4 Tl 2.91
5 Ga 0.7500 0.2500 0.5000  4 Tl 2.91

=====

Energies in meV per atom, measured from the most stable structure: model one 52; model two 0.

=====

Model one:
This record from Alexandria via LeMat-Bulk describes a geometry-optimized KTl2Ga2 structure. The functional is PBE.

Values from the calculation:
M_tot   0.0 μB/cell

Unit cell a=8.8891 b=8.8891 c=3.5436 alpha=90.00 beta=90.00 gamma=90.00
With the nearest neighbours (Å) after each atom.
Element x y z (fractional)
1 K 0.0000 0.0000 0.0000  4 Ga 3.53, 2 K 3.54, 8 Tl 3.76
2 K 0.5000 0.5000 0.0000  4 Ga 3.53, 2 K 3.54, 8 Tl 3.76
3 Tl 0.1663 0.3337 0.5000  6 Ga 3.14-3.20
4 Tl 0.3337 0.8337 0.5000  6 Ga 3.14-3.20
5 Tl 0.6663 0.1663 0.5000  6 Ga 3.14-3.20
6 Tl 0.8337 0.6663 0.5000  6 Ga 3.14-3.20
7 Ga 0.1216 0.6216 0.0000  1 Ga 3.06, 6 Tl 3.14-3.20
8 Ga 0.3784 0.1216 0.0000  1 Ga 3.06, 6 Tl 3.14-3.20
9 Ga 0.6216 0.8784 0.0000  1 Ga 3.06, 6 Tl 3.14-3.20
10 Ga 0.8784 0.3784 0.0000  1 Ga 3.06, 6 Tl 3.14-3.20

=====

Model two:
This record from Alexandria via LeMat-Bulk describes a geometry-optimized KTl2Ga2 structure. The functional is PBE.

Values from the calculation:
M_tot   0.0 μB/cell

Unit cell a=6.7896 b=6.7896 c=6.7896 alpha=136.83 beta=136.83 gamma=62.70
With the nearest neighbours (Å) after each atom.
Element x y z (fractional)
1 K 0.0000 0.0000 0.0000  8 Ga 3.76, 8 Tl 3.83
2 Tl 0.2500 0.7500 0.5000  4 Ga 2.98
3 Tl 0.7500 0.2500 0.5000  4 Ga 2.98
4 Ga 0.3897 0.3897 0.0000  1 Ga 2.56
5 Ga 0.6103 0.6103 0.0000  1 Ga 2.56

=====

Energies in meV per atom, measured from the most stable structure: model one 86; model two 0.

=====

Model one:
This record from Alexandria via LeMat-Bulk describes a geometry-optimized KTlGa3 structure. The functional is PBE.

Values from the calculation:
M_tot   0.0 μB/cell

Unit cell a=5.6051 b=5.6051 c=5.6051 alpha=90.00 beta=90.00 gamma=90.00
With the nearest neighbours (Å) after each atom.
Element x y z (fractional)
1 K 0.0000 0.0000 0.0000  12 Ga 3.96
2 Tl 0.5000 0.5000 0.5000  6 Ga 2.80
3 Ga 0.0000 0.5000 0.5000  2 Tl 2.80
4 Ga 0.5000 0.0000 0.5000  2 Tl 2.80
5 Ga 0.5000 0.5000 0.0000  2 Tl 2.80

=====

Model two:
This record from Alexandria via LeMat-Bulk describes a geometry-optimized KTlGa3 structure. The functional is PBE.

Values from the calculation:
M_tot   0.0 μB/cell

Unit cell a=5.7993 b=5.7993 c=5.7993 alpha=90.00 beta=90.00 gamma=90.00
With the nearest neighbours (Å) after each atom.
Element x y z (fractional)
1 K 0.0000 0.0000 0.0000  6 Ga 2.90
2 Tl 0.5000 0.5000 0.5000  12 Ga 4.10
3 Ga 0.0000 0.0000 0.5000  2 K 2.90
4 Ga 0.0000 0.5000 0.0000  2 K 2.90
5 Ga 0.5000 0.0000 0.0000  2 K 2.90

=====

Energies in meV per atom, measured from the most stable structure: model one 0; model two 542.